Entry 1:
VASP calculation (PBE) on a relaxed structure of CdMoOs2.

As for the energy: -8.242 eV per atom.

Unit cell a=2.7700 b=2.7700 c=8.4171 alpha=90.00 beta=90.00 gamma=90.00
Closest atoms and distances in Å follow each position.
Positions (direct):
Cd 0.0000 0.0000 0.0000  4 Cd 2.77, 4 Os 2.98, 4 Mo 3.05
Mo 0.5000 0.5000 0.2774  4 Mo 2.77, 4 Os 2.88, 4 Cd 3.05
Os 0.0000 0.0000 0.5278  8 Os 2.61-2.77, 4 Mo 2.88
Os 0.5000 0.5000 0.7336  8 Os 2.61-2.77

=====

Entry 2:
VASP calculation (PBE) on a relaxed structure of Tb2PdRu.

As for the energy: -6.583 eV per atom.

Unit cell a=3.4531 b=3.4531 c=7.0048 alpha=90.00 beta=90.00 gamma=90.00
Closest atoms and distances in Å follow each position.
Positions (direct):
Tb 0.0000 0.0000 0.2398  4 Ru 2.96, 4 Pd 3.05
Tb 0.0000 0.0000 0.7602  4 Ru 2.96, 4 Pd 3.05
Pd 0.5000 0.5000 0.5000  8 Tb 3.05
Ru 0.5000 0.5000 0.0000  8 Tb 2.96

=====

Entry 3:
VASP calculation (PBE) on a relaxed structure of LiEuCdSb.

As for the energy: -4.867 eV per atom. The calculation puts the uncorrected formation energy at -560.6 meV per atom.

Unit cell a=7.4980 b=7.4980 c=7.4980 alpha=90.00 beta=90.00 gamma=90.00
Closest atoms and distances in Å follow each position.
Positions (direct):
Li 0.0000 0.0000 0.0000  4 Sb 3.25, 4 Cd 3.25
Li 0.0000 0.5000 0.5000  4 Sb 3.25, 4 Cd 3.25
Li 0.5000 0.0000 0.5000  4 Sb 3.25, 4 Cd 3.25
Li 0.5000 0.5000 0.0000  4 Sb 3.25, 4 Cd 3.25
Eu 0.0000 0.0000 0.5000  4 Cd 3.25, 4 Sb 3.25
Eu 0.0000 0.5000 0.0000  4 Cd 3.25, 4 Sb 3.25
Eu 0.5000 0.0000 0.0000  4 Cd 3.25, 4 Sb 3.25
Eu 0.5000 0.5000 0.5000  4 Cd 3.25, 4 Sb 3.25
Cd 0.2500 0.2500 0.2500  4 Li 3.25, 4 Eu 3.25
Cd 0.2500 0.7500 0.7500  4 Li 3.25, 4 Eu 3.25
Cd 0.7500 0.2500 0.7500  4 Li 3.25, 4 Eu 3.25
Cd 0.7500 0.7500 0.2500  4 Li 3.25, 4 Eu 3.25
Sb 0.2500 0.2500 0.7500  4 Li 3.25, 4 Eu 3.25
Sb 0.2500 0.7500 0.2500  4 Li 3.25, 4 Eu 3.25
Sb 0.7500 0.2500 0.2500  4 Li 3.25, 4 Eu 3.25
Sb 0.7500 0.7500 0.7500  4 Li 3.25, 4 Eu 3.25